1.
# LaAsF3

A geometry-optimized LaAsF3 structure (PBE-GGA, Alexandria via LeMat-Bulk).

```
data_LaAsF3
_space_group_name_H-M_alt 'P m -3 m'
_space_group_IT_number 221
_space_group_name_Hall '-P 4 2 3'
_cell_length_a 4.5250
_cell_length_b 4.5250
_cell_length_c 4.5250
_cell_angle_alpha 90.00
_cell_angle_beta 90.00
_cell_angle_gamma 90.00
loop_
_atom_site_label
_atom_site_type_symbol
_atom_site_fract_x
_atom_site_fract_y
_atom_site_fract_z
_atom_site_occupancy
La1 La 0.0000 0.0000 0.0000 1
As1 As 0.5000 0.5000 0.5000 1
F1 F 0.0000 0.5000 0.5000 1
```

Properties
density	4.85	Mg/m³
distance to the lowest polymorph of the same formula	1072	meV/atom
total energy	-23.0	eV/cell
total magnetization	0.5	μB per formula unit


2.
# LaHo2Tl2Zn2

A geometry-optimized LaHo2Tl2Zn2 structure (PBE-GGA, Alexandria via LeMat-Bulk).

```
data_LaHo2Tl2Zn2
_space_group_name_H-M_alt 'R -3 m'
_space_group_IT_number 166
_space_group_name_Hall '-R 3 2"'
_cell_length_a 4.8267
_cell_length_b 4.8267
_cell_length_c 27.2531
_cell_angle_alpha 90.00
_cell_angle_beta 90.00
_cell_angle_gamma 120.00
loop_
_atom_site_label
_atom_site_type_symbol
_atom_site_fract_x
_atom_site_fract_y
_atom_site_fract_z
_atom_site_occupancy
La1 La 0.0000 0.0000 0.0000 1
Ho1 Ho 0.0000 0.0000 0.1328 1
Tl1 Tl 0.0000 0.0000 0.2626 1
Zn1 Zn 0.0000 0.0000 0.4323 1
```

Properties
density	9.14	Mg/m³
total energy	-68.3	eV/cell
total magnetization	0.0	μB per formula unit


3.
# Tl3GaRe

A geometry-optimized Tl3GaRe structure (PBE-GGA, Alexandria via LeMat-Bulk).

```
data_Tl3GaRe
_space_group_name_H-M_alt 'P m -3 m'
_space_group_IT_number 221
_space_group_name_Hall '-P 4 2 3'
_cell_length_a 5.3520
_cell_length_b 5.3520
_cell_length_c 5.3520
_cell_angle_alpha 90.00
_cell_angle_beta 90.00
_cell_angle_gamma 90.00
loop_
_atom_site_label
_atom_site_type_symbol
_atom_site_fract_x
_atom_site_fract_y
_atom_site_fract_z
_atom_site_occupancy
Tl1 Tl 0.0000 0.0000 0.5000 1
Ga1 Ga 0.5000 0.5000 0.5000 1
Re1 Re 0.0000 0.0000 0.0000 1
```

Properties
density	9.41	Mg/m³
distance to the lowest polymorph of the same formula	0	meV/atom
total energy	-19.2	eV/cell
total magnetization	0.0	μB per formula unit


4.
# AlGa2AgO

A geometry-optimized AlGa2AgO structure (PBE-GGA, Alexandria via LeMat-Bulk).

```
data_AlGa2AgO
_space_group_name_H-M_alt 'P 4/m m m'
_space_group_IT_number 123
_space_group_name_Hall '-P 4 2'
_cell_length_a 4.8295
_cell_length_b 4.8295
_cell_length_c 4.8221
_cell_angle_alpha 90.00
_cell_angle_beta 90.00
_cell_angle_gamma 90.00
loop_
_atom_site_label
_atom_site_type_symbol
_atom_site_fract_x
_atom_site_fract_y
_atom_site_fract_z
_atom_site_occupancy
Al1 Al 0.0000 0.0000 0.0000 1
Ga1 Ga 0.0000 0.5000 0.5000 1
Ag1 Ag 0.0000 0.0000 0.5000 1
O1 O 0.5000 0.5000 0.0000 1
```

Properties
density	4.29	Mg/m³
distance to the lowest polymorph of the same formula	848	meV/atom
total energy	-14.9	eV/cell
total magnetization	0.0	μB per formula unit


5.
# PmNd5Sc2

A geometry-optimized PmNd5Sc2 structure (PBE-GGA, Alexandria via LeMat-Bulk).

```
data_PmNd5Sc2
_space_group_name_H-M_alt 'P b a m'
_space_group_IT_number 55
_space_group_name_Hall '-P 2 2ab'
_cell_length_a 7.1380
_cell_length_b 14.2732
_cell_length_c 5.0401
_cell_angle_alpha 90.00
_cell_angle_beta 90.00
_cell_angle_gamma 90.00
loop_
_atom_site_label
_atom_site_type_symbol
_atom_site_fract_x
_atom_site_fract_y
_atom_site_fract_z
_atom_site_occupancy
Pm1 Pm 0.0000 0.0000 0.0000 1
Nd1 Nd 0.0000 0.5000 0.0000 1
Nd2 Nd 0.0005 0.2497 0.0000 1
Nd3 Nd 0.2494 0.8753 0.5000 1
Sc1 Sc 0.2501 0.1248 0.5000 1
```

Properties
density	6.18	Mg/m³
distance to the lowest polymorph of the same formula	0	meV/atom
total energy	-81.9	eV/cell
total magnetization	0.0	μB per formula unit


6.
# K2NpPa2Se6

A geometry-optimized K2NpPa2Se6 structure (PBE-GGA, Alexandria via LeMat-Bulk).

```
data_K2NpPa2Se6
_space_group_name_H-M_alt 'C 1 2/m 1'
_space_group_IT_number 12
_space_group_name_Hall '-C 2y'
_cell_length_a 7.2010
_cell_length_b 12.4872
_cell_length_c 8.2824
_cell_angle_alpha 90.00
_cell_angle_beta 106.63
_cell_angle_gamma 90.00
loop_
_atom_site_label
_atom_site_type_symbol
_atom_site_fract_x
_atom_site_fract_y
_atom_site_fract_z
_atom_site_occupancy
K1 K 0.0000 0.1658 0.0000 1
Np1 Np 0.0000 0.0000 0.5000 1
Pa1 Pa 0.0000 0.3345 0.5000 1
Se1 Se 0.2297 0.5000 0.7061 1
Se2 Se 0.2362 0.1696 0.7041 1
```

Properties
density	5.82	Mg/m³
total energy	-139.4	eV/cell
total magnetization	7.0	μB per formula unit


7.
# RbHfI2

A geometry-optimized RbHfI2 structure (PBE-GGA, Alexandria via LeMat-Bulk).

```
data_RbHfI2
_space_group_name_H-M_alt 'F m -3 m'
_space_group_IT_number 225
_space_group_name_Hall '-F 4 2 3'
_cell_length_a 8.1463
_cell_length_b 8.1463
_cell_length_c 8.1463
_cell_angle_alpha 90.00
_cell_angle_beta 90.00
_cell_angle_gamma 90.00
loop_
_atom_site_label
_atom_site_type_symbol
_atom_site_fract_x
_atom_site_fract_y
_atom_site_fract_z
_atom_site_occupancy
Rb1 Rb 0.0000 0.0000 0.0000 1
Hf1 Hf 0.0000 0.0000 0.5000 1
I1 I 0.2500 0.2500 0.2500 1
```

Properties
density	6.36	Mg/m³
distance to the lowest polymorph of the same formula	155	meV/atom
total energy	-54.6	eV/cell
total magnetization	2.1	μB per formula unit


8.
# La2GeHPd

A geometry-optimized La2GeHPd structure (PBE-GGA, Alexandria via LeMat-Bulk).

```
data_La2GeHPd
_space_group_name_H-M_alt 'P 4/m m m'
_space_group_IT_number 123
_space_group_name_Hall '-P 4 2'
_cell_length_a 5.3016
_cell_length_b 5.3016
_cell_length_c 3.7765
_cell_angle_alpha 90.00
_cell_angle_beta 90.00
_cell_angle_gamma 90.00
loop_
_atom_site_label
_atom_site_type_symbol
_atom_site_fract_x
_atom_site_fract_y
_atom_site_fract_z
_atom_site_occupancy
La1 La 0.0000 0.5000 0.0000 1
Ge1 Ge 0.0000 0.0000 0.5000 1
H1 H 0.5000 0.5000 0.0000 1
Pd1 Pd 0.5000 0.5000 0.5000 1
```

Properties
density	7.16	Mg/m³
total energy	-26.3	eV/cell
total magnetization	0.0	μB per formula unit